[1]
LiCa4Te meta-GGA SCAN single point on PBEsol structure; ΔE_f (raw) = 0.10 eV per atom
1.0
-1.3031 -3.6898 5.5132
4.3660 -0.0230 5.1619
-1.6175 3.0571 5.8091
Ca Li Te
4 1 1
Direct
0.3744 0.3744 0.8768
0.3744 0.8768 0.3744
0.3744 0.3744 0.3744
0.8768 0.3744 0.3744
0.7500 0.7500 0.7500
0.0000 0.0000 0.0000

***

[2]
Li2CaTi meta-GGA SCAN single point on PBEsol structure; ΔE_f = 0.551 eV per atom
1.0
6.0854 0.0000 0.0000
3.0427 5.5646 0.0000
3.0427 0.0000 5.5646
Ca Ti Li
2 2 4
Direct
0.2500 0.5000 0.5000
0.5000 0.0000 0.0000
0.0000 0.0000 0.0000
0.7500 0.5000 0.5000
0.8750 0.0184 0.4816
0.6434 0.4816 0.9816
0.3750 0.9816 0.5184
0.1066 0.5184 0.0184

***

[3]
LiCa2Tl2 meta-GGA SCAN single point on PBEsol structure; ΔE_f = -0.466 eV per atom
1.0
4.6096 0.0000 0.0000
0.0000 7.8502 0.0000
0.0000 0.0000 7.8502
Li Tl Ca
2 4 4
Direct
0.0000 0.0000 0.0000
0.0000 0.5000 0.5000
0.0000 0.3583 0.8583
0.0000 0.6417 0.1417
0.0000 0.1417 0.3583
0.0000 0.8583 0.6417
0.5000 0.1629 0.6629
0.5000 0.6629 0.8371
0.5000 0.3371 0.1629
0.5000 0.8371 0.3371

***

[4]
Li2CaTl meta-GGA SCAN single point on PBEsol structure; ΔE_f = -0.376 eV per atom
1.0
-4.0171 -1.8004 2.2272
4.4302 -0.5202 2.1061
1.1117 2.5555 4.0709
Tl Ca Li
1 1 2
Direct
0.0000 0.0000 0.0000
0.5000 0.0000 0.5000
0.7500 0.5000 0.7500
0.2500 0.5000 0.2500

***

[5]
Li2CaTl meta-GGA SCAN single point on PBEsol structure; ΔE_f = -0.268 eV per atom
1.0
3.6043 0.0000 0.0000
0.0000 3.6043 0.0000
0.0000 0.0000 7.4868
Li Ca Tl
2 1 1
Direct
0.5000 0.5000 0.2581
0.0000 0.0000 0.0563
0.5000 0.5000 0.7319
0.0000 0.0000 0.4537

***

[6]
Li2CaTl meta-GGA SCAN single point on PBEsol structure; ΔE_f = -0.180 eV per atom
1.0
-4.0147 -0.9275 1.6759
1.0261 -4.3278 0.0629
5.3270 3.6783 8.8931
Ca Tl Li
2 2 4
Direct
0.7500 0.2500 0.5000
0.5000 0.5000 0.0000
0.2500 0.7500 0.5000
0.0000 0.0000 0.0000
0.1250 0.0528 0.7500
0.9472 0.3750 0.2500
0.6250 0.6972 0.7500
0.3028 0.8750 0.2500